No. 1
4
Lattice="-3.0227 -2.3319 3.8553 4.7420 0.3385 0.9974 -0.3784 2.1854 2.1005" Properties=species:S:1:pos:R:3 comment="CrCu2Pb | Alexandria | PBE | relaxed" spacegroup="C2/m (12)" e_tot_ev_per_atom=-4.8190 dos_ef_per_ev_cell=2.40 pbc="T T T"
Cu 2.1818 1.2620 1.5489
Cu 0.0000 0.0000 0.0000
Pb 0.8596 -0.9967 2.4264
Cr -1.7005 -0.0732 2.9779

***

No. 2
4
Lattice="-0.2939 1.0453 -4.3945 -3.7271 -1.0684 -2.3362 -2.8268 3.2606 -1.3667" Properties=species:S:1:pos:R:3 comment="CrCu2Pb | Alexandria | PBE | relaxed" spacegroup="F-43m (216)" e_tot_ev_per_atom=-4.9571 dos_ef_per_ev_cell=1.73 pbc="T T T"
Cu -5.1359 2.4282 -6.0731
Cu 0.0000 0.0000 0.0000
Cr -3.4239 1.6188 -4.0487
Pb -1.7120 0.8094 -2.0244

***

No. 3
5
Lattice="5.2146 0.0000 0.0000 0.0000 5.2146 0.0000 0.0000 0.0000 5.2146" Properties=species:S:1:pos:R:3 comment="Cr3CuPb | Alexandria | PBE | relaxed" spacegroup="Pm-3m (221)" de_polymorph_ev_per_fu=2.97 dos_ef_per_ev_cell=1.72 pbc="T T T"
Cr 0.0000 0.0000 2.6073
Cr 2.6073 0.0000 0.0000
Cr 0.0000 2.6073 0.0000
Pb 0.0000 0.0000 0.0000
Cu 2.6073 2.6073 2.6073

***

No. 4
4
Lattice="-0.5976 -2.2800 3.2751 -2.3453 -2.4770 -2.1523 3.1907 -2.1976 -0.9477" Properties=species:S:1:pos:R:3 comment="CrCu2Pb | Alexandria | PBE | relaxed" spacegroup="P4/mmm (123)" e_tot_ev_per_atom=-4.9811 dos_ef_per_ev_cell=2.66 pbc="T T T"
Pb 1.2965 -2.2388 1.1637
Cu -1.4714 -2.3785 0.5614
Cu 0.0000 0.0000 0.0000
Cr 0.4227 -2.3373 -1.5500

***

No. 5
4
Lattice="8.4427 -0.1698 -0.0999 7.9029 2.9751 -0.0999 7.9029 1.3564 2.6499" Properties=species:S:1:pos:R:3 comment="CrCu2Pb | Alexandria | PBE | relaxed" spacegroup="R3m (160)" e_tot_ev_per_atom=-4.7872 dos_ef_per_ev_cell=2.79 pbc="T T T"
Cr 17.8790 3.0686 1.8064
Pb 12.2308 2.0992 1.2358
Cu 24.1631 4.1471 2.4414
Cu 6.3485 1.0896 0.6414

***

No. 6
4
Lattice="3.2322 0.0000 0.0000 0.0000 3.2371 0.0000 0.0000 0.0000 6.4992" Properties=species:S:1:pos:R:3 comment="CrCu2Pb | Alexandria | PBE | relaxed" spacegroup="P4mm (99)" e_tot_ev_per_atom=-4.9688 dos_ef_per_ev_cell=2.10 pbc="T T T"
Cr 1.6161 1.6186 5.1818
Cu 1.6161 1.6186 1.2608
Cu 0.0000 0.0000 0.1073
Pb 0.0000 0.0000 3.1990

***

No. 7
4
Lattice="-3.0294 -0.8042 -1.2541 0.0360 -2.8805 1.7601 -2.6297 2.7651 4.5791" Properties=species:S:1:pos:R:3 comment="CrCu2Pb | Alexandria | PBE | relaxed" spacegroup="P4/mmm (123)" e_tot_ev_per_atom=-5.0075 dos_ef_per_ev_cell=1.78 pbc="T T T"
Cu -1.4267 1.5001 2.4843
Cu -2.5178 2.6475 4.3844
Cr -3.4689 0.2315 3.6873
Pb -2.1541 -1.1511 1.3978

***

No. 8
6
Lattice="0.0000 3.5546 3.5546 3.5546 0.0000 3.5546 3.5546 3.5546 0.0000" Properties=species:S:1:pos:R:3 comment="CrCu4Pb | Alexandria | PBE | relaxed" spacegroup="F-43m (216)" e_tot_ev_per_atom=-4.7413 dos_ef_per_ev_cell=2.94 pbc="T T T"
Cu 4.4502 2.6591 2.6591
Cu 4.4502 4.4502 4.4502
Cu 2.6591 2.6591 4.4502
Cu 2.6591 4.4502 2.6591
Cr 0.0000 0.0000 0.0000
Pb 1.7773 1.7773 1.7773

***

No. 9
5
Lattice="5.2485 0.0000 0.0000 0.0000 5.2485 0.0000 0.0000 0.0000 5.2485" Properties=species:S:1:pos:R:3 comment="CrCuPb3 | Alexandria | PBE | relaxed" spacegroup="Pm-3m (221)" de_polymorph_ev_per_fu=0.00 dos_ef_per_ev_cell=1.90 pbc="T T T"
Cu 0.0000 0.0000 0.0000
Cr 2.6243 2.6243 2.6243
Pb 0.0000 2.6243 0.0000
Pb 2.6243 0.0000 0.0000
Pb 0.0000 0.0000 2.6243

***

No. 10
8
Lattice="3.9134 0.0000 0.0000 0.0000 3.9134 0.0000 1.9567 1.9567 9.3654" Properties=species:S:1:pos:R:3 comment="CrCu2Pb | Alexandria | PBE | relaxed" spacegroup="I-42d (122)" e_tot_ev_per_atom=-4.7615 dos_ef_per_ev_cell=3.93 pbc="T T T"
Cu 1.1301 2.9350 2.3413
Cu 2.9350 3.0868 7.0240
Cu 4.8917 4.7399 7.0240
Cu 2.7832 0.9783 2.3413
Cr 1.9567 1.9567 0.0000
Cr 1.9567 3.9134 4.6827
Pb 0.0000 0.0000 0.0000
Pb 3.9134 1.9567 4.6827

***

No. 11
5
Lattice="-1.8892 -4.0413 1.0208 1.8709 -1.8237 -3.7573 4.1512 -4.1989 1.3179" Properties=species:S:1:pos:R:3 comment="Cr2CuPb2 | Alexandria | PBE | relaxed" spacegroup="I4/mmm (139)" de_polymorph_ev_per_fu=1.13 dos_ef_per_ev_cell=3.61 pbc="T T T"
Pb 1.1264 -5.5863 0.4852
Pb 3.0064 -4.4775 -1.9038
Cr 0.7089 -3.1511 -0.9046
Cr 3.4239 -6.9128 -0.5140
Cu 0.0000 0.0000 0.0000

***

No. 12
4
Lattice="-7.2583 -4.9205 0.6487 -5.2572 -7.0319 -0.4792 -5.3657 -6.4676 2.5874" Properties=species:S:1:pos:R:3 comment="CrCu2Pb | Alexandria | PBE | relaxed" spacegroup="R-3m (166)" e_tot_ev_per_atom=-4.7866 dos_ef_per_ev_cell=3.69 pbc="T T T"
Cr -13.4109 -13.8150 2.0677
Pb -4.4703 -4.6050 0.6892
Cu -0.1668 -0.1718 0.0257
Cu -8.7738 -9.0382 1.3527

***

No. 13
5
Lattice="-0.1639 4.6700 -0.1739 -0.5223 0.1546 4.6443 4.6439 0.1822 0.5161" Properties=species:S:1:pos:R:3 comment="CrCu3Pb | Alexandria | PBE | relaxed" spacegroup="Pm-3m (221)" de_polymorph_ev_per_fu=0.00 dos_ef_per_ev_cell=2.17 pbc="T T T"
Pb 1.9789 2.5034 2.4933
Cr 0.0000 0.0000 0.0000
Cu -0.2611 0.0773 2.3221
Cu 2.3220 0.0911 0.2581
Cu -0.0820 2.3350 -0.0869

***

No. 14
5
Lattice="4.4982 0.0000 0.0000 0.0000 4.7207 0.0000 0.0000 0.0000 4.4982" Properties=species:S:1:pos:R:3 comment="CrCuRe2Pb | Alexandria | PBE | relaxed" spacegroup="P4/mmm (123)" e_tot_ev_per_atom=-6.9981 dos_ef_per_ev_cell=5.85 pbc="T T T"
Pb 2.2491 2.3603 2.2491
Re 0.0000 0.0000 2.2491
Re 2.2491 0.0000 0.0000
Cr 0.0000 0.0000 0.0000
Cu 0.0000 2.3603 0.0000

***

No. 15
5
Lattice="-1.1808 -3.8805 1.8063 -0.4354 -1.8522 -4.2636 4.2602 -1.2467 0.1066" Properties=species:S:1:pos:R:3 comment="CrCuRu2Pb | Alexandria | PBE | relaxed" spacegroup="P4/mmm (123)" e_tot_ev_per_atom=-6.2027 dos_ef_per_ev_cell=5.78 pbc="T T T"
Pb 1.3221 -3.4897 -1.1754
Cr 0.0000 0.0000 0.0000
Ru -0.5904 -1.9403 0.9032
Ru 2.1301 -0.6234 0.0533
Cu -0.2177 -0.9261 -2.1318

***

No. 16
5
Lattice="4.9683 0.0000 0.0000 0.0000 5.2202 0.0000 0.0000 0.0000 4.9683" Properties=species:S:1:pos:R:3 comment="CrCuSb2Pb | Alexandria | PBE | relaxed" spacegroup="P4/mmm (123)" dos_ef_per_ev_cell=4.49 raw_formation_energy_ev_per_atom=0.61 pbc="T T T"
Pb 0.0000 2.6101 0.0000
Cr 0.0000 0.0000 0.0000
Sb 0.0000 0.0000 2.4841
Sb 2.4841 0.0000 0.0000
Cu 2.4841 2.6101 2.4841

***

No. 17
12
Lattice="-2.1113 -1.1838 -3.0353 6.6047 -1.7569 -3.9088 -2.2962 -7.4383 4.4980" Properties=species:S:1:pos:R:3 comment="CrCuPbSe3 | Alexandria | PBE | relaxed" spacegroup="P2_1/m (11)" dos_ef_per_ev_cell=1.49 raw_formation_energy_ev_per_atom=-0.40 pbc="T T T"
Se 1.1352 -7.6702 0.9604
Se -1.7374 -6.9898 2.6931
Se 3.9347 -3.3891 -5.1392
Se 1.0621 -2.7088 -3.4064
Se -1.1351 -5.3952 -0.8305
Se 3.3323 -4.9838 -1.6155
Cr -1.3373 -7.7698 0.2362
Cr 3.5346 -2.6092 -2.6823
Pb 2.0457 -7.7514 -2.1240
Pb 0.1516 -2.6275 -0.3221
Cu -1.3821 -4.8134 1.5972
Cu 3.5794 -5.5656 -4.0432

***

No. 18
5
Lattice="6.3629 0.0000 0.0000 0.0000 5.2188 0.0000 0.0000 0.0000 6.3629" Properties=species:S:1:pos:R:3 comment="Sr2CrCuPb | Alexandria | PBE | relaxed" spacegroup="P4/mmm (123)" e_tot_ev_per_atom=-3.5821 dos_ef_per_ev_cell=1.47 pbc="T T T"
Sr 3.1815 0.0000 0.0000
Sr 0.0000 0.0000 3.1815
Cu 3.1815 2.6094 3.1815
Pb 0.0000 0.0000 0.0000
Cr 0.0000 2.6094 0.0000

***

No. 19
12
Lattice="4.1433 0.0000 0.0000 0.0000 8.4876 0.7477 0.0000 -3.1395 8.8737" Properties=species:S:1:pos:R:3 comment="CrCuTe3Pb | Alexandria | PBE | relaxed" spacegroup="P2_1/m (11)" dos_ef_per_ev_cell=4.04 raw_formation_energy_ev_per_atom=-0.18 pbc="T T T"
Pb 1.0358 0.7278 2.3746
Pb 3.1075 4.6203 7.2468
Te 3.1075 3.3212 1.6022
Te 3.1075 0.4630 4.9540
Te 1.0358 -1.6843 7.8184
Te 1.0358 2.0268 8.0191
Te 3.1075 7.0324 1.8030
Te 1.0358 4.8851 4.6673
Cu 3.1075 6.5553 4.4934
Cu 1.0358 -1.2073 5.1280
Cr 3.1075 0.1925 7.7395
Cr 1.0358 5.1556 1.8819

***

No. 20
5
Lattice="4.9108 0.0000 0.0000 0.0000 4.8063 0.0000 0.0000 0.0000 4.9108" Properties=species:S:1:pos:R:3 comment="V2CrCuPb | Alexandria | PBE | relaxed" spacegroup="P4/mmm (123)" e_tot_ev_per_atom=-4.7628 dos_ef_per_ev_cell=11.02 pbc="T T T"
Pb 0.0000 0.0000 0.0000
V 0.0000 0.0000 2.4554
V 2.4554 0.0000 0.0000
Cr 0.0000 2.4032 0.0000
Cu 2.4554 2.4032 2.4554